# Sr5La3Mn4W4O24 GGA+U relaxed
data_Sr5La3Mn4W4O24
_symmetry_space_group_name_H-M 'P 1'
_symmetry_Int_Tables_number 1
_symmetry_space_group_name_Hall 'P 1'
_cell_length_a 8.151
_cell_length_b 8.211
_cell_length_c 9.888
_cell_angle_alpha 113.88
_cell_angle_beta 113.72
_cell_angle_gamma 91.03
loop_
_atom_site_label
_atom_site_fract_x
_atom_site_fract_y
_atom_site_fract_z
_atom_site_occupancy
Sr1 0.000 0.000 0.000 1
Sr2 0.015 0.496 0.999 1
Sr3 0.308 0.212 0.501 1
Sr4 0.516 0.005 0.002 1
Sr5 0.804 0.718 0.500 1
La1 0.293 0.701 0.494 1
La2 0.493 0.488 0.996 1
La3 0.795 0.197 0.496 1
Mn1 0.153 0.608 0.750 1
Mn2 0.405 0.350 0.250 1
Mn3 0.653 0.104 0.750 1
Mn4 0.905 0.852 0.247 1
W1 0.156 0.103 0.750 1
W2 0.404 0.853 0.250 1
W3 0.656 0.605 0.751 1
W4 0.902 0.354 0.248 1
O1 0.061 0.036 0.513 1
O2 0.142 0.367 0.792 1
O3 0.152 0.873 0.206 1
O4 0.169 0.347 0.301 1
O5 0.176 0.836 0.696 1
O6 0.242 0.169 0.982 1
O7 0.344 0.754 0.008 1
O8 0.349 0.589 0.206 1
O9 0.400 0.548 0.708 1
O10 0.422 0.171 0.791 1
O11 0.472 0.938 0.498 1
O12 0.478 0.122 0.303 1
O13 0.564 0.540 0.516 1
O14 0.636 0.380 0.198 1
O15 0.638 0.857 0.793 1
O16 0.663 0.845 0.300 1
O17 0.675 0.350 0.704 1
O18 0.735 0.663 0.984 1
O19 0.826 0.261 0.011 1
O20 0.843 0.097 0.220 1
O21 0.886 0.054 0.706 1
O22 0.909 0.663 0.793 1
O23 0.961 0.439 0.485 1
O24 0.974 0.619 0.294 1
# * crystal system: triclinic
# * D(E_F): 0.0 states/eV per cell
# * DFT total energy: -7.52 eV/atom